## MgCrTc2 (GGA-PBE)

Data for a relaxed structure of MgCrTc2.

Cell lengths 3.057, 3.057, 6.562 Å; angles 90.00, 90.00, 90.00 degrees
Site moments in Bohr magnetons follow the coordinates.
Atoms (fractional coordinates):
1 Cr 0.000 0.000 0.479  2.73
2 Mg 0.500 0.500 0.754  -0.01
3 Tc 0.000 0.000 0.021  0.19
4 Tc 0.500 0.500 0.246  -0.28

Results
The crystal system is tetragonal. Its mass density is 7.37 g/cm³. For the energy relative to the elements, the calculation gives 0.23 eV/atom.

***

## Mg2CrTc (GGA-PBE)

Data for a relaxed structure of Mg2CrTc.

Cell lengths 2.654, 2.654, 9.082 Å; angles 90.00, 90.00, 104.23 degrees
Atoms (fractional coordinates):
1 Cr 0.500 0.500 0.750
2 Mg 0.000 0.000 0.997
3 Mg 0.000 0.000 0.503
4 Tc 0.500 0.500 0.250

Results
The crystal system is orthorhombic. Its mass density is 5.32 g/cm³. For the energy relative to the elements, the calculation gives 0.43 eV/atom. Its energy above the lowest structure with this stoichiometry is 0.3308 eV per atom.

***

## MgCrTc2 (GGA-PBE)

Data for a relaxed structure of MgCrTc2.

Cell lengths 9.204, 9.204, 9.204 Å; angles 17.19, 17.19, 17.19 degrees
Atoms (fractional coordinates):
1 Cr 0.505 0.505 0.505
2 Mg 0.751 0.751 0.751
3 Tc 0.995 0.995 0.995
4 Tc 0.249 0.249 0.249

Results
The crystal system is trigonal. Its mass density is 7.61 g/cm³. For the energy relative to the elements, the calculation gives 0.30 eV/atom.

***

## MgCr2Tc2 (GGA-PBE)

Data for a relaxed structure of MgCr2Tc2.

Cell lengths 7.256, 7.256, 2.785 Å; angles 90.00, 90.00, 90.00 degrees
Site moments in Bohr magnetons follow the coordinates.
Atoms (fractional coordinates):
1 Cr 0.363 0.863 0.000  0.67
2 Cr 0.863 0.637 0.000  0.67
3 Cr 0.637 0.137 0.000  0.67
4 Cr 0.137 0.363 0.000  0.67
5 Mg 0.000 0.000 0.000  0.00
6 Mg 0.500 0.500 0.000  0.00
7 Tc 0.157 0.657 0.500  -0.23
8 Tc 0.657 0.843 0.500  -0.23
9 Tc 0.843 0.343 0.500  -0.23
10 Tc 0.343 0.157 0.500  -0.23

Results
The crystal system is tetragonal. Its mass density is 7.35 g/cm³. For the energy relative to the elements, the calculation gives 0.24 eV/atom.

***

Copy entry 1 word for word.
## MgCrTc2 (GGA-PBE)

Data for a relaxed structure of MgCrTc2.

Cell lengths 3.057, 3.057, 6.562 Å; angles 90.00, 90.00, 90.00 degrees
Site moments in Bohr magnetons follow the coordinates.
Atoms (fractional coordinates):
1 Cr 0.000 0.000 0.479  2.73
2 Mg 0.500 0.500 0.754  -0.01
3 Tc 0.000 0.000 0.021  0.19
4 Tc 0.500 0.500 0.246  -0.28

Results
The crystal system is tetragonal. Its mass density is 7.37 g/cm³. For the energy relative to the elements, the calculation gives 0.23 eV/atom.

***

- Which value of mass density does entry 2 give?
  5.32 g/cm³

***

- Which of these has the lowest mass density?
  Mg2CrTc